(A)
{
  "formula": "SiMoSe3",
  "functional": "PBE",
  "state": "optimized geometry",
  "lattice_angstrom": [[-4.486, 1.545, 0.673], [0.406, -0.865, 4.696], [1.635, 4.453, 0.679]],
  "species": ["Mo", "Si", "Se", "Se", "Se"],
  "frac_coords": [[0.500, 0.500, 0.500], [0.000, 0.000, 0.000], [0.000, 0.500, 0.000], [0.000, 0.000, 0.500], [0.500, 0.000, 0.000]]
}

(B)
{
  "formula": "SiMoSe3",
  "functional": "PBE",
  "state": "optimized geometry",
  "lattice_angstrom": [[-1.021, -4.677, 1.216], [-0.661, -1.096, -4.771], [4.787, -1.149, -0.399]],
  "species": ["Mo", "Si", "Se", "Se", "Se"],
  "frac_coords": [[0.000, 0.000, 0.000], [0.500, 0.500, 0.500], [0.000, 0.500, 0.000], [0.000, 0.000, 0.500], [0.500, 0.000, 0.000]]
}

Which one is the least stable? From the structures above, (A).